First-principles (PBE) data for an optimized crystal structure of RbTl2S3, as listed in the Alexandria database.

POSCAR file:
```
RbTl2S3
1.0
-3.197 0.603 3.464
-1.359 -7.895 0.119
10.482 2.521 5.977
Rb Tl S
2 4 6
direct
0.357 0.168 0.715
0.643 0.832 0.285
0.302 0.635 0.604
0.698 0.365 0.396
0.950 0.783 0.899
0.050 0.217 0.101
0.229 0.274 0.458
0.063 0.908 0.126
0.410 0.617 0.820
0.771 0.726 0.542
0.590 0.383 0.180
0.937 0.092 0.874
```

crystal system = monoclinic
magnetic moment = 0.0 Bohr magnetons per cell
uncorrected formation energy = -37 kJ/mol of atoms
electronic total energy = -40.79 eV/cell
space-group type = No. 12